The following is a PBE calculation of a relaxed structure of ZnCr2Sb, from the Alexandria database.

abc: 5.265 5.265 5.265
angles: 137.11 137.11 62.27
Fractional positions:
1 Cr 0.000 0.000 0.000
2 Cr 0.750 0.250 0.500
3 Sb 0.500 0.500 0.000
4 Zn 0.250 0.750 0.500

Calculated values
The uncorrected formation energy is 8.5 kcal/mol of atoms. The excess energy over the best structure of this formula in the dataset comes out at 0.1099 eV per atom. The space-group type is I-4m2 (119). The calculation puts the energy at -5.79 eV per atom.